Crystalline ErFeBi2O6 at its relaxed geometry, computed with PBE+U.

Output
As for the density of states at the Fermi level: 0.0 states/eV/cell. For the calculated total energy, the calculation gives -6.63 eV per atom. The value obtained for the density is 8.53 g/cm3.

Lattice parameters (Å, degrees): 5.938 5.938 5.938 58.64 58.64 58.64
Fractional coordinates of all 10 atoms:
Er (0.000, 0.000, 0.000)
Fe (0.504, 0.504, 0.504)
Bi (0.218, 0.218, 0.218)
Bi (0.717, 0.717, 0.717)
O (0.181, 0.356, 0.784)
O (0.309, 0.845, 0.652)
O (0.356, 0.784, 0.181)
O (0.652, 0.309, 0.845)
O (0.784, 0.181, 0.356)
O (0.845, 0.652, 0.309)